Entry 1:
An optimized crystal structure of LaSiCl2. Source: Alexandria, functional PBE.

Cell: 10.5565 3.7644 5.2076 Å, 90.00 95.15 90.00°
Element x y z (fractional)
La 0.0000 0.0000 0.0000
La 0.5000 0.5000 0.0000
Si 0.0000 0.5000 0.5000
Si 0.5000 0.0000 0.5000
Cl 0.1906 0.5000 0.2281
Cl 0.3094 0.0000 0.7719
Cl 0.6906 0.0000 0.2281
Cl 0.8094 0.5000 0.7719

Properties
- space group = C2/m
- final energy (eV per cell) = -37.0

---

Entry 2:
An optimized crystal structure of LaSi2Cl. Source: Alexandria, functional PBE.

Cell: 3.8730 5.6725 8.5122 Å, 90.00 90.00 90.00°
Element x y z (fractional)
La 0.0000 0.0000 0.0000
La 0.5000 0.5000 0.5000
Si 0.0000 0.0000 0.4328
Si 0.0000 0.5000 0.7815
Si 0.5000 0.0000 0.2815
Si 0.5000 0.5000 0.9328
Cl 0.0000 0.5000 0.2294
Cl 0.5000 0.0000 0.7294

Properties
- space group = Imm2
- final energy (eV per cell) = -40.1

---

Entry 3:
An optimized crystal structure of La4Si2Cl. Source: Alexandria, functional PBE.

Cell: 7.9761 7.9761 7.9761 Å, 110.93 110.93 106.58°
Element x y z (fractional)
La 0.0074 0.7415 0.1089
La 0.1016 0.9926 0.7341
La 0.1174 0.5085 0.7659
La 0.2585 0.3674 0.2659
La 0.4915 0.2574 0.6089
La 0.6326 0.8984 0.8911
La 0.6484 0.8826 0.3911
La 0.7426 0.3516 0.2341
Si 0.0005 0.1250 0.3755
Si 0.3750 0.9995 0.1245
Si 0.7495 0.6250 0.6245
Si 0.8750 0.2505 0.8755
Cl 0.2500 0.7500 0.5000
Cl 0.5000 0.5000 0.0000

Properties
- space group = I-42d
- final energy (eV per cell) = -77.7

---

Entry 4:
An optimized crystal structure of La3SiCl. Source: Alexandria, functional PBE.

Cell: 5.3516 5.3516 5.3516 Å, 90.00 90.00 90.00°
Element x y z (fractional)
La 0.0000 0.0000 0.5000
La 0.0000 0.5000 0.0000
La 0.5000 0.0000 0.0000
Si 0.5000 0.5000 0.5000
Cl 0.0000 0.0000 0.0000

Properties
- space group = Pm-3m
- final energy (eV per cell) = -24.4

---

Entry 5:
An optimized crystal structure of LaSi2Cl. Source: Alexandria, functional PBE.

Cell: 3.7958 6.0632 4.3886 Å, 90.00 91.88 90.00°
Element x y z (fractional)
La 0.0000 0.0000 0.0000
Si 0.2430 0.5000 0.8459
Si 0.7570 0.5000 0.1541
Cl 0.5000 0.0000 0.5000

Properties
- space group = P2/m
- final energy (eV per cell) = -19.6

---

Entry 6:
An optimized crystal structure of LaSiCl2. Source: Alexandria, functional PBE.

Cell: 3.8380 4.7078 5.7373 Å, 90.00 90.00 90.00°
Element x y z (fractional)
La 0.0000 0.0000 0.0000
Si 0.5000 0.5000 0.1526
Cl 0.0000 0.0000 0.4897
Cl 0.5000 0.5000 0.7539

Properties
- space group = Pmm2
- final energy (eV per cell) = -18.0

---

Entry 7:
An optimized crystal structure of LaSiCl2. Source: Alexandria, functional PBE.

Cell: 3.6427 5.6343 9.5060 Å, 90.00 90.00 90.00°
Element x y z (fractional)
La 0.0000 0.0000 0.0000
La 0.5000 0.5000 0.5000
Si 0.0000 0.0000 0.5000
Si 0.5000 0.5000 0.0000
Cl 0.0000 0.5000 0.2605
Cl 0.0000 0.5000 0.7395
Cl 0.5000 0.0000 0.2395
Cl 0.5000 0.0000 0.7605

Properties
- space group = Immm
- final energy (eV per cell) = -35.8

---

Entry 8:
An optimized crystal structure of LaSi2Cl. Source: Alexandria, functional PBE.

Cell: 12.0154 3.8071 4.9359 Å, 90.00 93.16 90.00°
Element x y z (fractional)
La 0.0000 0.0000 0.0000
La 0.5000 0.5000 0.0000
Si 0.2015 0.5000 0.0283
Si 0.2985 0.0000 0.9717
Si 0.7015 0.0000 0.0283
Si 0.7985 0.5000 0.9717
Cl 0.0000 0.5000 0.5000
Cl 0.5000 0.0000 0.5000

Properties
- space group = C2/m
- final energy (eV per cell) = -40.5